Record 1
First-principles (GGA-PBE) data for Na2SiGeI after structural relaxation, as listed in Alexandria.

a b c (Å): 5.5523 5.5523 5.7778
angles (deg): 90.00 90.00 90.00
Fractional coordinates of all 5 atoms:
Na 0.0000 0.5000 0.0000
Na 0.5000 0.0000 0.0000
Si 0.0000 0.0000 0.5000
Ge 0.5000 0.5000 0.5000
I 0.5000 0.5000 0.0000

Properties
- raw formation energy (eV/atom) = 0.585
- total magnetic moment (μB per cell) = 1.0
- uncorrected energy (eV for the cell shown) = -11.30
- space-group type = P4/mmm, No. 123

---

Record 2
First-principles (GGA-PBE) data for NaSn2GeI after structural relaxation, as listed in Alexandria.

a b c (Å): 5.3581 5.3581 6.0980
angles (deg): 90.00 90.00 90.00
Fractional coordinates of all 5 atoms:
Na 0.0000 0.0000 0.0000
Sn 0.0000 0.5000 0.5000
Sn 0.5000 0.0000 0.5000
Ge 0.0000 0.0000 0.5000
I 0.5000 0.5000 0.0000

Properties
- raw formation energy (eV/atom) = 0.052
- total magnetic moment (μB per cell) = 0.0
- uncorrected energy (eV for the cell shown) = -15.23
- space-group type = P4/mmm, No. 123

---

Record 3
First-principles (GGA-PBE) data for Na2SrGeI6 after structural relaxation, as listed in Alexandria.

a b c (Å): 8.6090 8.6090 8.6090
angles (deg): 55.70 55.70 55.70
Fractional coordinates of all 10 atoms:
Na 0.0000 0.0000 0.0000
Na 0.4937 0.4937 0.4937
Sr 0.1899 0.1899 0.1899
Ge 0.6850 0.6850 0.6850
I 0.0709 0.4258 0.7838
I 0.3005 0.8968 0.6002
I 0.4258 0.7838 0.0709
I 0.6002 0.3005 0.8968
I 0.7838 0.0709 0.4258
I 0.8968 0.6002 0.3005

Properties
- raw formation energy (eV/atom) = -1.074
- total magnetic moment (μB per cell) = 0.0
- uncorrected energy (eV for the cell shown) = -28.98
- space-group type = R3, No. 146

---

Record 4
First-principles (GGA-PBE) data for NaGeTeI2 after structural relaxation, as listed in Alexandria.

a b c (Å): 5.8944 5.8944 5.5395
angles (deg): 90.00 90.00 90.00
Fractional coordinates of all 5 atoms:
Na 0.0000 0.0000 0.0000
Ge 0.5000 0.5000 0.5000
Te 0.5000 0.5000 0.0000
I 0.0000 0.5000 0.5000
I 0.5000 0.0000 0.5000

Properties
- raw formation energy (eV/atom) = -0.282
- total magnetic moment (μB per cell) = 0.0
- uncorrected energy (eV for the cell shown) = -13.59
- polymorph energy (0 for the lowest one) (eV per formula unit) = 0.00
- space-group type = P4/mmm, No. 123

---

Record 5
First-principles (GGA-PBE) data for NaGeTe2I after structural relaxation, as listed in Alexandria.

a b c (Å): 5.4736 5.4736 6.0653
angles (deg): 90.00 90.00 90.00
Fractional coordinates of all 5 atoms:
Na 0.0000 0.0000 0.0000
Ge 0.5000 0.5000 0.5000
Te 0.0000 0.5000 0.5000
Te 0.5000 0.0000 0.5000
I 0.5000 0.5000 0.0000

Properties
- raw formation energy (eV/atom) = -0.122
- total magnetic moment (μB per cell) = 0.0
- uncorrected energy (eV for the cell shown) = -14.38
- polymorph energy (0 for the lowest one) (eV per formula unit) = 0.00
- space-group type = P4/mmm, No. 123

---

Record 6
First-principles (GGA-PBE) data for NaGeTe2I after structural relaxation, as listed in Alexandria.

a b c (Å): 5.5362 5.5362 5.6901
angles (deg): 90.00 90.00 90.00
Fractional coordinates of all 5 atoms:
Na 0.0000 0.0000 0.0000
Ge 0.5000 0.5000 0.5000
Te 0.0000 0.5000 0.0000
Te 0.5000 0.0000 0.0000
I 0.0000 0.0000 0.5000

Properties
- raw formation energy (eV/atom) = 0.531
- total magnetic moment (μB per cell) = 0.0
- uncorrected energy (eV for the cell shown) = -11.11
- polymorph energy (0 for the lowest one) (eV per formula unit) = 3.26
- space-group type = P4/mmm, No. 123

---

Record 7
First-principles (GGA-PBE) data for Na2GeTeI after structural relaxation, as listed in Alexandria.

a b c (Å): 5.8254 5.8254 6.3275
angles (deg): 90.00 90.00 90.00
Fractional coordinates of all 5 atoms:
Na 0.0000 0.5000 0.0000
Na 0.5000 0.0000 0.0000
Ge 0.0000 0.0000 0.5000
Te 0.5000 0.5000 0.0000
I 0.5000 0.5000 0.5000

Properties
- raw formation energy (eV/atom) = 0.111
- total magnetic moment (μB per cell) = 2.2
- uncorrected energy (eV for the cell shown) = -11.39
- space-group type = P4/mmm, No. 123

---

Record 8
First-principles (GGA-PBE) data for NaGeTeI2 after structural relaxation, as listed in Alexandria.

a b c (Å): 5.6593 5.6593 5.7793
angles (deg): 90.00 90.00 90.00
Fractional coordinates of all 5 atoms:
Na 0.0000 0.0000 0.0000
Ge 0.5000 0.5000 0.5000
Te 0.0000 0.0000 0.5000
I 0.0000 0.5000 0.0000
I 0.5000 0.0000 0.0000

Properties
- raw formation energy (eV/atom) = 0.333
- total magnetic moment (μB per cell) = 0.5
- uncorrected energy (eV for the cell shown) = -10.51
- polymorph energy (0 for the lowest one) (eV per formula unit) = 3.08
- space-group type = P4/mmm, No. 123

---

Question: What is the formula in the eighth record?
Answer: NaGeTeI2

---

Please write out number 3 again, unchanged.
First-principles (GGA-PBE) data for Na2SrGeI6 after structural relaxation, as listed in Alexandria.

a b c (Å): 8.6090 8.6090 8.6090
angles (deg): 55.70 55.70 55.70
Fractional coordinates of all 10 atoms:
Na 0.0000 0.0000 0.0000
Na 0.4937 0.4937 0.4937
Sr 0.1899 0.1899 0.1899
Ge 0.6850 0.6850 0.6850
I 0.0709 0.4258 0.7838
I 0.3005 0.8968 0.6002
I 0.4258 0.7838 0.0709
I 0.6002 0.3005 0.8968
I 0.7838 0.0709 0.4258
I 0.8968 0.6002 0.3005

Properties
- raw formation energy (eV/atom) = -1.074
- total magnetic moment (μB per cell) = 0.0
- uncorrected energy (eV for the cell shown) = -28.98
- space-group type = R3, No. 146

---

Question: Which of these has the highest uncorrected energy?
Answer: number 8